1.
LiHoGeRu: optimized geometry, PBE.

Lattice parameters (Å, degrees): 4.554 4.554 4.554 60.00 60.00 60.00
Fractional coordinates of all 4 atoms:
1 Ru 0.000 0.000 0.000
2 Ge 0.250 0.250 0.250
3 Ho 0.750 0.750 0.750
4 Li 0.500 0.500 0.500

Properties
symmetry: F-43m
DOS at the Fermi energy: 3.33 states/eV/cell
energy of formation from the pure elements: -368.5 meV per atom

---

2.
K2InPbSe: optimized geometry, PBE.

Lattice parameters (Å, degrees): 6.030 5.951 6.030 90.00 90.00 90.00
Fractional coordinates of all 5 atoms:
1 Pb 0.000 0.500 0.000
2 K 0.000 0.000 0.500
3 K 0.500 0.000 0.000
4 Se 0.000 0.000 0.000
5 In 0.500 0.500 0.500

Properties
symmetry: P4/mmm
uncorrected formation energy: -0.18 eV/atom
DOS at the Fermi energy: 4.84 states/eV/cell

---

3.
HoErTlGa: optimized geometry, PBE.

Lattice parameters (Å, degrees): 5.194 5.194 5.194 60.00 60.00 60.00
Fractional coordinates of all 4 atoms:
1 Tl 0.750 0.750 0.750
2 Ho 0.500 0.500 0.500
3 Ga 0.250 0.250 0.250
4 Er 0.000 0.000 0.000

Properties
symmetry: F-43m
excess energy over the best structure of this formula in the dataset: 29 meV/atom
DOS at the Fermi energy: 1.82 states/eV/cell
energy of formation from the pure elements: -415.7 meV per atom

---

4.
VCuCl4: optimized geometry, PBE.

Lattice parameters (Å, degrees): 6.045 6.241 8.906 104.91 104.09 105.91
Last column: magnetic moment on the atom in μB.
Fractional coordinates of all 12 atoms:
1 V 0.809 0.059 0.117  1.95
2 V 0.191 0.941 0.883  1.95
3 Cu 0.392 0.642 0.284  -0.08
4 Cu 0.608 0.358 0.716  -0.08
5 Cl 0.293 0.055 0.666  -0.02
6 Cl 0.052 0.817 0.091  -0.03
7 Cl 0.127 0.389 0.334  -0.02
8 Cl 0.461 0.726 0.909  -0.03
9 Cl 0.707 0.945 0.334  -0.02
10 Cl 0.873 0.611 0.666  -0.02
11 Cl 0.948 0.183 0.909  -0.03
12 Cl 0.539 0.274 0.091  -0.03

Properties
symmetry: C2/c
uncorrected formation energy: -0.93 eV/atom
excess energy over the best structure of this formula in the dataset: 11 meV/atom
DOS at the Fermi energy: 12.52 states/eV/cell

---

5.
CrAgTe4: optimized geometry, PBE.

Lattice parameters (Å, degrees): 6.343 6.343 6.343 60.00 60.00 60.00
Last column: magnetic moment on the atom in μB.
Fractional coordinates of all 6 atoms:
1 Cr 0.000 0.000 0.000  4.24
2 Ag 0.750 0.750 0.750  0.01
3 Te 0.875 0.375 0.375  -0.02
4 Te 0.375 0.375 0.875  -0.02
5 Te 0.375 0.875 0.375  -0.02
6 Te 0.375 0.375 0.375  -0.02

Properties
symmetry: F-43m
uncorrected formation energy: 0.73 eV/atom
excess energy over the best structure of this formula in the dataset: 815 meV/atom
DOS at the Fermi energy: 5.30 states/eV/cell

---

6.
WBr: optimized geometry, PBE.

Lattice parameters (Å, degrees): 5.515 5.515 6.777 68.96 68.96 32.64
Fractional coordinates of all 4 atoms:
1 Br 0.951 0.951 0.100
2 Br 0.799 0.799 0.650
3 W 0.215 0.215 0.370
4 W 0.535 0.535 0.380

Properties
symmetry: C2/m
uncorrected formation energy: 0.86 eV/atom
excess energy over the best structure of this formula in the dataset: 779 meV/atom
DOS at the Fermi energy: 3.54 states/eV/cell

---

7.
BaRh3Au: optimized geometry, PBE.

Lattice parameters (Å, degrees): 5.031 5.031 5.031 90.00 90.00 90.00
Last column: magnetic moment on the atom in μB.
Fractional coordinates of all 5 atoms:
1 Rh 0.000 0.500 0.000  0.34
2 Rh 0.000 0.000 0.500  0.20
3 Rh 0.500 0.000 0.000  0.30
4 Au 0.500 0.500 0.500  -0.01
5 Ba 0.000 0.000 0.000  -0.02

Properties
symmetry: Pm-3m
excess energy over the best structure of this formula in the dataset: 1072 meV/atom
DOS at the Fermi energy: 10.76 states/eV/cell
energy of formation from the pure elements: 1844.3 meV per atom

---

8.
TcIr2Pt: optimized geometry, PBE.

Lattice parameters (Å, degrees): 5.438 5.438 2.710 75.32 75.32 119.24
Fractional coordinates of all 4 atoms:
1 Ir 0.000 0.000 0.000
2 Ir 0.500 0.500 0.000
3 Pt 0.500 0.000 0.500
4 Tc 0.000 0.500 0.500

Properties
symmetry: C2/m
excess energy over the best structure of this formula in the dataset: 374 meV/atom
DOS at the Fermi energy: 5.67 states/eV/cell
energy of formation from the pure elements: 232.4 meV per atom

---

9.
AcTh2PN5: optimized geometry, PBE.

Lattice parameters (Å, degrees): 5.682 6.818 6.818 90.00 90.00 90.00
Fractional coordinates of all 18 atoms:
1 Ac 0.000 0.500 0.500
2 Ac 0.000 0.000 0.000
3 Th 0.500 0.679 0.179
4 Th 0.500 0.179 0.321
5 Th 0.500 0.821 0.679
6 Th 0.500 0.321 0.821
7 P 0.000 0.000 0.500
8 P 0.000 0.500 0.000
9 N 0.500 0.500 0.500
10 N 0.500 0.000 0.000
11 N 0.223 0.130 0.630
12 N 0.223 0.870 0.370
13 N 0.223 0.370 0.130
14 N 0.223 0.630 0.870
15 N 0.777 0.130 0.630
16 N 0.777 0.630 0.870
17 N 0.777 0.870 0.370
18 N 0.777 0.370 0.130

Properties
symmetry: P4/mbm
uncorrected formation energy: -1.09 eV/atom
DOS at the Fermi energy: 6.62 states/eV/cell

---

10.
Pm2Sm4Th: optimized geometry, PBE.

Lattice parameters (Å, degrees): 3.631 3.631 20.782 84.99 84.99 60.00
Fractional coordinates of all 7 atoms:
1 Pm 0.429 0.429 0.714
2 Pm 0.571 0.571 0.286
3 Sm 0.143 0.143 0.572
4 Sm 0.287 0.287 0.138
5 Sm 0.713 0.713 0.862
6 Sm 0.857 0.857 0.428
7 Th 0.000 0.000 0.000

Properties
symmetry: R-3m
excess energy over the best structure of this formula in the dataset: 0 meV/atom
DOS at the Fermi energy: 9.66 states/eV/cell
energy of formation from the pure elements: 17.2 meV per atom

---

11.
TmTlAgAu: optimized geometry, PBE.

Lattice parameters (Å, degrees): 4.955 4.955 4.955 60.00 60.00 60.00
Fractional coordinates of all 4 atoms:
1 Tl 0.500 0.500 0.500
2 Tm 0.000 0.000 0.000
3 Au 0.750 0.750 0.750
4 Ag 0.250 0.250 0.250

Properties
symmetry: F-43m
DOS at the Fermi energy: 1.72 states/eV/cell
energy of formation from the pure elements: -372.5 meV per atom

---

12.
Eu2BiF: optimized geometry, PBE.

Lattice parameters (Å, degrees): 4.527 4.527 6.928 70.93 70.93 60.00
Last column: magnetic moment on the atom in μB.
Fractional coordinates of all 4 atoms:
1 Eu 0.763 0.763 0.711  6.88
2 Eu 0.237 0.237 0.289  6.88
3 Bi 0.000 0.000 0.000  -0.15
4 F 0.500 0.500 0.500  -0.02

Properties
symmetry: R-3m
uncorrected formation energy: -1.64 eV/atom
excess energy over the best structure of this formula in the dataset: 0 meV/atom
DOS at the Fermi energy: 14.54 states/eV/cell

---

Question: Which formula does entry 1 have?
Answer: LiHoGeRu